# 1
Entry from the Alexandria database: a relaxed structure of SmMnI (PBE-GGA).

The volume is 341.1 Å³/cell. Its magnetization is 0.0 μB per formula unit. For the formation energy without anion corrections, the calculation gives -0.266 eV per atom. Its density of states at the Fermi level is 2.39 states/eV/f.u.

a = 3.7048 Å, b = 3.6407 Å, c = 25.2885 Å
α = 90.00°, β = 90.00°, γ = 90.00°
Positions (direct):
1 Mn 0.8275 0.7500 0.4996
2 Mn 0.1725 0.2500 0.5004
3 Sm 0.7250 0.2500 0.5925
4 I 0.7156 0.2500 0.8300
5 Mn 0.6725 0.7500 0.9996
6 I 0.7844 0.2500 0.3300
7 Sm 0.2250 0.7500 0.9075
8 I 0.2156 0.7500 0.6700
9 Mn 0.3275 0.2500 0.0004
10 I 0.2844 0.7500 0.1700
11 Sm 0.7750 0.2500 0.0925
12 Sm 0.2750 0.7500 0.4075

# 2
Entry from the Alexandria database: a relaxed structure of CeSmHgOs (PBE-GGA).

The volume is 96.5 Å³/cell. Its magnetization is 0.0 μB per formula unit. The formation energy is -0.277 eV/atom. As for the energy above the most stable polymorph in this dataset: 0.00 eV/f.u. Its density of states at the Fermi level is 4.81 states/eV/f.u.

a = 3.3970 Å, b = 3.3970 Å, c = 8.3634 Å
α = 90.00°, β = 90.00°, γ = 90.00°
Positions (direct):
1 Hg 0.0000 0.0000 0.0692
2 Ce 0.5000 0.5000 0.3638
3 Sm 0.5000 0.5000 0.7851
4 Os 0.0000 0.0000 0.5665

# 3
Entry from the Alexandria database: a relaxed structure of NiPBr3 (PBE-GGA).

The volume is 134.0 Å³/cell. Its magnetization is 1.0 μB per formula unit. For the formation energy without anion corrections, the calculation gives 0.631 eV per atom. As for the energy above the most stable polymorph in this dataset: 0.60 eV/f.u. Its density of states at the Fermi level is 19.13 states/eV/f.u.

a = 5.1166 Å, b = 5.1166 Å, c = 5.1166 Å
α = 90.00°, β = 90.00°, γ = 90.00°
Site moments in Bohr magnetons follow the coordinates.
Positions (direct):
1 Br 0.0000 0.5000 0.0000  0.01
2 Br 0.0000 0.0000 0.5000  0.00
3 Br 0.5000 0.0000 0.0000  0.00
4 Ni 0.5000 0.5000 0.5000  0.91
5 P 0.0000 0.0000 0.0000  -0.01

# 4
Entry from the Alexandria database: a relaxed structure of La6Cd2Co (PBE-GGA).

The volume is 273.4 Å³/cell. Its magnetization is 0.0 μB per formula unit. The formation energy is -0.195 eV/atom. As for the energy above the most stable polymorph in this dataset: 0.00 eV/f.u. Its density of states at the Fermi level is 10.77 states/eV/f.u.

a = 3.7742 Å, b = 9.1446 Å, c = 9.1446 Å
α = 119.97°, β = 90.00°, γ = 90.00°
Positions (direct):
1 Co 0.5000 0.9992 0.9992
2 La 0.5000 0.0003 0.5978
3 Cd 0.0000 0.6670 0.3336
4 La 0.0000 0.7713 0.7713
5 La 0.0000 0.2284 0.0001
6 La 0.5000 0.4022 0.4022
7 Cd 0.0000 0.3336 0.6670
8 La 0.5000 0.5978 0.0003
9 La 0.0000 0.0001 0.2284

# 5
Entry from the Alexandria database: a relaxed structure of Sm2SbI (PBE-GGA).

The volume is 129.5 Å³/cell. Its magnetization is 0.0 μB per formula unit. For the formation energy without anion corrections, the calculation gives -1.021 eV per atom. Its density of states at the Fermi level is 1.19 states/eV/f.u.

a = 4.3453 Å, b = 4.3453 Å, c = 8.3065 Å
α = 74.84°, β = 74.84°, γ = 60.00°
Positions (direct):
1 Sm 0.2609 0.2609 0.2172
2 Sb 0.6678 0.6678 0.9966
3 I 0.4989 0.4989 0.5032
4 Sm 0.0724 0.0724 0.7829